(1)
# AcLaTlIn, optimized geometry, DFT PBE
# **Relative energy among the computed polymorphs**: 0.009 eV/atom
data_AcLaTlIn
_chemical_formula_sum 'Ac4 La4 Tl4 In4'
_symmetry_space_group_name_H-M 'F -4 3 m'
_symmetry_Int_Tables_number 216
_symmetry_space_group_name_Hall 'F -4 2 3'
_cell_length_a 8.105
_cell_length_b 8.105
_cell_length_c 8.105
_cell_angle_alpha 90.00
_cell_angle_beta 90.00
_cell_angle_gamma 90.00
loop_
_atom_site_label
_atom_site_type_symbol
_atom_site_fract_x
_atom_site_fract_y
_atom_site_fract_z
_atom_site_occupancy
Ac1 Ac 0.000 0.000 0.000 1
La1 La 0.000 0.000 0.500 1
Tl1 Tl 0.250 0.250 0.250 1
In1 In 0.250 0.250 0.750 1

(2)
# AcLaTlIn, optimized geometry, DFT PBE
# **Relative energy among the computed polymorphs**: 0.000 eV/atom
data_AcLaTlIn
_chemical_formula_sum 'Ac1 La1 Tl1 In1'
_symmetry_space_group_name_H-M 'P 4 m m'
_symmetry_Int_Tables_number 99
_cell_length_a 4.047
_cell_length_b 4.047
_cell_length_c 8.067
_cell_angle_alpha 90.00
_cell_angle_beta 90.00
_cell_angle_gamma 90.00
loop_
_symmetry_equiv_pos_as_xyz
'x,y,z'
'-y,x,z'
'-x,-y,z'
'y,-x,z'
'-x,y,z'
'y,x,z'
'x,-y,z'
'-y,-x,z'
loop_
_atom_site_label
_atom_site_type_symbol
_atom_site_fract_x
_atom_site_fract_y
_atom_site_fract_z
_atom_site_occupancy
Ac1 Ac 0.000 0.000 0.000 1
La1 La 0.000 0.000 0.494 1
Tl1 Tl 0.500 0.500 0.734 1
In1 In 0.500 0.500 0.259 1

(3)
Entry from Alexandria: a relaxed Ac3La3TlIn2 crystal (PBE).

Cell and atoms, written as CIF:
```
data_Ac3La3TlIn2
_chemical_formula_sum 'Ac3 La3 Tl1 In2'
_symmetry_space_group_name_H-M 'P -6 2 m'
_symmetry_Int_Tables_number 189
_symmetry_space_group_name_Hall 'P -6 -2'
_cell_length_a 9.6266
_cell_length_b 9.6266
_cell_length_c 4.0057
_cell_angle_alpha 90.00
_cell_angle_beta 90.00
_cell_angle_gamma 120.00
loop_
_atom_site_label
_atom_site_type_symbol
_atom_site_fract_x
_atom_site_fract_y
_atom_site_fract_z
_atom_site_occupancy
Ac1 Ac 0.0000 0.7152 0.0000 1
La1 La 0.0000 0.3918 0.5000 1
Tl1 Tl 0.0000 0.0000 0.5000 1
In1 In 0.3333 0.6667 0.0000 1
```

(4)
Entry from Alexandria: a relaxed AcLa5Tl2In crystal (PBE).

Cell and atoms, written as CIF:
```
data_AcLa5Tl2In
_chemical_formula_sum 'Ac4 La20 Tl8 In4'
_symmetry_space_group_name_H-M 'I 4/m c m'
_symmetry_Int_Tables_number 140
_symmetry_space_group_name_Hall '-I 4 2c'
_cell_length_a 8.288
_cell_length_b 8.288
_cell_length_c 18.896
_cell_angle_alpha 90.00
_cell_angle_beta 90.00
_cell_angle_gamma 90.00
loop_
_atom_site_label
_atom_site_type_symbol
_atom_site_fract_x
_atom_site_fract_y
_atom_site_fract_z
_atom_site_occupancy
Ac1 Ac 0.000 0.000 0.250 1
La1 La 0.000 0.000 0.000 1
La2 La 0.191 0.309 0.128 1
Tl1 Tl 0.122 0.378 0.500 1
In1 In 0.000 0.500 0.250 1
```

(5)
Entry from Alexandria: a relaxed AcLaYIn crystal (PBE).

Cell and atoms, written as CIF:
```
data_AcLaYIn
_chemical_formula_sum 'Ac4 La4 Y4 In4'
_symmetry_space_group_name_H-M 'F -4 3 m'
_symmetry_Int_Tables_number 216
_symmetry_space_group_name_Hall 'F -4 2 3'
_cell_length_a 8.166
_cell_length_b 8.166
_cell_length_c 8.166
_cell_angle_alpha 90.00
_cell_angle_beta 90.00
_cell_angle_gamma 90.00
loop_
_atom_site_label
_atom_site_type_symbol
_atom_site_fract_x
_atom_site_fract_y
_atom_site_fract_z
_atom_site_occupancy
Ac1 Ac 0.000 0.000 0.000 1
La1 La 0.000 0.000 0.500 1
Y1 Y 0.250 0.250 0.750 1
In1 In 0.250 0.250 0.250 1
```

(6)
Entry from Alexandria: a relaxed AcLa2Zn2In2 crystal (PBE).

Cell and atoms, written as CIF:
```
data_AcLa2Zn2In2
_chemical_formula_sum 'Ac3 La6 Zn6 In6'
_symmetry_space_group_name_H-M 'R -3 m'
_symmetry_Int_Tables_number 166
_symmetry_space_group_name_Hall '-R 3 2"'
_cell_length_a 4.7304
_cell_length_b 4.7304
_cell_length_c 30.1173
_cell_angle_alpha 90.00
_cell_angle_beta 90.00
_cell_angle_gamma 120.00
loop_
_atom_site_label
_atom_site_type_symbol
_atom_site_fract_x
_atom_site_fract_y
_atom_site_fract_z
_atom_site_occupancy
Ac1 Ac 0.0000 0.0000 0.0000 1
La1 La 0.0000 0.0000 0.1393 1
Zn1 Zn 0.0000 0.0000 0.4160 1
In1 In 0.0000 0.0000 0.2599 1
```

(7)
Entry from Alexandria: a relaxed Li6Ac2In9 crystal (PBE).

Cell and atoms, written as CIF:
```
data_Li6Ac2In9
_chemical_formula_sum 'Li6 Ac2 In9'
_symmetry_space_group_name_H-M 'P 6/m m m'
_symmetry_Int_Tables_number 191
_symmetry_space_group_name_Hall '-P 6 2'
_cell_length_a 6.0627
_cell_length_b 6.0627
_cell_length_c 14.0615
_cell_angle_alpha 90.00
_cell_angle_beta 90.00
_cell_angle_gamma 120.00
loop_
_atom_site_label
_atom_site_type_symbol
_atom_site_fract_x
_atom_site_fract_y
_atom_site_fract_z
_atom_site_occupancy
Li1 Li 0.3333 0.6667 0.0000 1
Li2 Li 0.3333 0.6667 0.3375 1
Ac1 Ac 0.0000 0.0000 0.3285 1
In1 In 0.0000 0.5000 0.1736 1
In2 In 0.0000 0.5000 0.5000 1
```

(8)
Entry from Alexandria: a relaxed LiAc6In5 crystal (PBE).

Cell and atoms, written as CIF:
```
data_LiAc6In5
_chemical_formula_sum 'Li2 Ac12 In10'
_symmetry_space_group_name_H-M 'C m m m'
_symmetry_Int_Tables_number 65
_symmetry_space_group_name_Hall '-C 2 2'
_cell_length_a 5.811
_cell_length_b 17.460
_cell_length_c 8.165
_cell_angle_alpha 90.00
_cell_angle_beta 90.00
_cell_angle_gamma 90.00
loop_
_atom_site_label
_atom_site_type_symbol
_atom_site_fract_x
_atom_site_fract_y
_atom_site_fract_z
_atom_site_occupancy
Li1 Li 0.000 0.000 0.000 1
Ac1 Ac 0.000 0.168 0.249 1
Ac2 Ac 0.000 0.500 0.255 1
In1 In 0.000 0.000 0.500 1
In2 In 0.000 0.333 0.500 1
In3 In 0.000 0.341 0.000 1
```

(9)
# Li2Ac2In3, optimized geometry, DFT PBE
# **Relative energy among the computed polymorphs**: 0.000 eV/atom
data_Li2Ac2In3
_chemical_formula_sum 'Li8 Ac8 In12'
_symmetry_space_group_name_H-M 'C m c m'
_symmetry_Int_Tables_number 63
_symmetry_space_group_name_Hall '-C 2c 2'
_cell_length_a 4.839
_cell_length_b 21.170
_cell_length_c 7.984
_cell_angle_alpha 90.00
_cell_angle_beta 90.00
_cell_angle_gamma 90.00
loop_
_atom_site_label
_atom_site_type_symbol
_atom_site_fract_x
_atom_site_fract_y
_atom_site_fract_z
_atom_site_occupancy
Li1 Li 0.000 0.189 0.063 1
Ac1 Ac 0.000 0.341 0.250 1
Ac2 Ac 0.000 0.446 0.750 1
In1 In 0.000 0.063 0.567 1
In2 In 0.000 0.278 0.750 1

(10)
Entry from Alexandria: a relaxed LiAc6In crystal (PBE).

Cell and atoms, written as CIF:
```
data_LiAc6In
_chemical_formula_sum 'Li2 Ac12 In2'
_symmetry_space_group_name_H-M 'I 4/m m m'
_symmetry_Int_Tables_number 139
_symmetry_space_group_name_Hall '-I 4 2'
_cell_length_a 5.680
_cell_length_b 5.680
_cell_length_c 19.609
_cell_angle_alpha 90.00
_cell_angle_beta 90.00
_cell_angle_gamma 90.00
loop_
_atom_site_label
_atom_site_type_symbol
_atom_site_fract_x
_atom_site_fract_y
_atom_site_fract_z
_atom_site_occupancy
Li1 Li 0.000 0.000 0.000 1
Ac1 Ac 0.000 0.000 0.250 1
Ac2 Ac 0.000 0.500 0.108 1
In1 In 0.000 0.000 0.500 1
```

(11)
Entry from Alexandria: a relaxed Li6AcIn2 crystal (PBE).

Cell and atoms, written as CIF:
```
data_Li6AcIn2
_chemical_formula_sum 'Li12 Ac2 In4'
_symmetry_space_group_name_H-M 'C 1 2/m 1'
_symmetry_Int_Tables_number 12
_cell_length_a 12.233
_cell_length_b 10.474
_cell_length_c 3.215
_cell_angle_alpha 90.00
_cell_angle_beta 104.94
_cell_angle_gamma 90.00
loop_
_symmetry_equiv_pos_as_xyz
'x,y,z'
'-x,-y,-z'
'-x,y,-z'
'x,-y,z'
'x+1/2,y+1/2,z'
'-x+1/2,-y+1/2,-z'
'-x+1/2,y+1/2,-z'
'x+1/2,-y+1/2,z'
loop_
_atom_site_label
_atom_site_type_symbol
_atom_site_fract_x
_atom_site_fract_y
_atom_site_fract_z
_atom_site_occupancy
Li1 Li 0.000 0.114 0.000 1
Li2 Li 0.160 0.259 0.163 1
Ac1 Ac 0.000 0.500 0.500 1
In1 In 0.212 0.000 0.715 1
```

(12)
Entry from Alexandria: a relaxed Li2Ac3In7 crystal (PBE).

Cell and atoms, written as CIF:
```
data_Li2Ac3In7
_chemical_formula_sum 'Li6 Ac9 In21'
_symmetry_space_group_name_H-M 'R -3 m'
_symmetry_Int_Tables_number 166
_symmetry_space_group_name_Hall '-R 3 2"'
_cell_length_a 6.2746
_cell_length_b 6.2746
_cell_length_c 28.5772
_cell_angle_alpha 90.00
_cell_angle_beta 90.00
_cell_angle_gamma 120.00
loop_
_atom_site_label
_atom_site_type_symbol
_atom_site_fract_x
_atom_site_fract_y
_atom_site_fract_z
_atom_site_occupancy
Li1 Li 0.0000 0.0000 0.1642 1
Ac1 Ac 0.0000 0.0000 0.3600 1
Ac2 Ac 0.0000 0.0000 0.5000 1
In1 In 0.0000 0.0000 0.0000 1
In2 In 0.0075 0.5038 0.4223 1
```

| no. | magnetic moment (Bohr magnetons per cell) | calculated total energy (eV/atom) |
| --- | --- | --- |
| 1 | 0.0 | -3.95 |
| 2 | 0.0 | -3.96 |
| 3 | 0.0 | -4.16 |
| 4 | 0.0 | -4.20 |
| 5 | 0.0 | -4.67 |
| 6 | 0.0 | -3.48 |
| 7 | 0.0 | -2.83 |
| 8 | 0.0 | -3.71 |
| 9 | 0.0 | -3.24 |
| 10 | 0.0 | -3.76 |
| 11 | 0.0 | -2.38 |
| 12 | 0.0 | -3.35 |